A plane-wave DFT calculation with PBE was carried out for crystalline Pm7Ge3 at its relaxed geometry.

DOS at the Fermi energy (states/eV/atom): 0.98
Mass density (g cm⁻³): 7.0
Formation energy from the elements (kJ/mol of atoms): -55.0

Geometry as CIF:
```
data_Pm7Ge3
_space_group_name_H-M_alt 'P 63 m c'
_space_group_IT_number 186
_space_group_name_Hall 'P 6c -2c'
_cell_length_a 10.3112
_cell_length_b 10.3112
_cell_length_c 6.3277
_cell_angle_alpha 90.00
_cell_angle_beta 90.00
_cell_angle_gamma 120.00
loop_
_atom_site_label
_atom_site_fract_x
_atom_site_fract_y
_atom_site_fract_z
_atom_site_occupancy
Pm1 0.0682 0.5341 0.0000 1
Pm2 0.1229 0.2459 0.7411 1
Pm3 0.3333 0.6667 0.5497 1
Ge1 0.1910 0.3821 0.2920 1
```

---

A plane-wave DFT calculation with PBE was carried out for crystalline PmGe6 at its relaxed geometry.

DOS at the Fermi energy (states/eV/atom): 0.66
Mass density (g cm⁻³): 5.5
Formation energy from the elements (kJ/mol of atoms): 20.1

Geometry as CIF:
```
data_PmGe6
_space_group_name_H-M_alt 'I m -3 m'
_space_group_IT_number 229
_space_group_name_Hall '-I 4 2 3'
_cell_length_a 7.051
_cell_length_b 7.051
_cell_length_c 7.051
_cell_angle_alpha 90.00
_cell_angle_beta 90.00
_cell_angle_gamma 90.00
loop_
_atom_site_label
_atom_site_fract_x
_atom_site_fract_y
_atom_site_fract_z
_atom_site_occupancy
Pm1 0.000 0.000 0.000 1
Ge1 0.000 0.250 0.500 1
```

---

A plane-wave DFT calculation with PBE was carried out for crystalline Pm5Ge6 at its relaxed geometry.

DOS at the Fermi energy (states/eV/atom): 0.55
Mass density (g cm⁻³): 7.1
Formation energy from the elements (kJ/mol of atoms): -61.7

Geometry as CIF:
```
data_Pm5Ge6
_space_group_name_H-M_alt 'C 1 2/m 1'
_space_group_IT_number 12
_cell_length_a 6.021
_cell_length_b 13.443
_cell_length_c 7.228
_cell_angle_alpha 90.00
_cell_angle_beta 112.25
_cell_angle_gamma 90.00
loop_
_space_group_symop_operation_xyz
'x,y,z'
'-x,-y,-z'
'-x,y,-z'
'x,-y,z'
'x+1/2,y+1/2,z'
'-x+1/2,-y+1/2,-z'
'-x+1/2,y+1/2,-z'
'x+1/2,-y+1/2,z'
loop_
_atom_site_label
_atom_site_fract_x
_atom_site_fract_y
_atom_site_fract_z
_atom_site_occupancy
Pm1 0.000 0.000 0.000 1
Pm2 0.000 0.288 0.000 1
Pm3 0.000 0.353 0.500 1
Ge1 0.054 0.140 0.686 1
Ge2 0.077 0.500 0.198 1
```

---

A plane-wave DFT calculation with PBE was carried out for crystalline Pm5Ge at its relaxed geometry.

DOS at the Fermi energy (states/eV/atom): 1.72
Mass density (g cm⁻³): 7.0
Formation energy from the elements (kJ/mol of atoms): -9.7

Geometry as CIF:
```
data_Pm5Ge
_space_group_name_H-M_alt 'I 4/m c m'
_space_group_IT_number 140
_space_group_name_Hall '-I 4 2c'
_cell_length_a 7.737
_cell_length_b 7.737
_cell_length_c 12.624
_cell_angle_alpha 90.00
_cell_angle_beta 90.00
_cell_angle_gamma 90.00
loop_
_atom_site_label
_atom_site_fract_x
_atom_site_fract_y
_atom_site_fract_z
_atom_site_occupancy
Pm1 0.000 0.000 0.000 1
Pm2 0.155 0.345 0.144 1
Ge1 0.000 0.000 0.250 1
```

---

A plane-wave DFT calculation with PBE was carried out for crystalline Pm5Ge4 at its relaxed geometry.

DOS at the Fermi energy (states/eV/atom): 0.93
Mass density (g cm⁻³): 7.4
Formation energy from the elements (kJ/mol of atoms): -55.6

Geometry as CIF:
```
data_Pm5Ge4
_space_group_name_H-M_alt 'I 4/m m m'
_space_group_IT_number 139
_space_group_name_Hall '-I 4 2'
_cell_length_a 10.795
_cell_length_b 10.795
_cell_length_c 3.900
_cell_angle_alpha 90.00
_cell_angle_beta 90.00
_cell_angle_gamma 90.00
loop_
_atom_site_label
_atom_site_fract_x
_atom_site_fract_y
_atom_site_fract_z
_atom_site_occupancy
Pm1 0.000 0.000 0.000 1
Pm2 0.000 0.307 0.000 1
Ge1 0.188 0.188 0.500 1
```

---

A plane-wave DFT calculation with PBE was carried out for crystalline Pm2Ge at its relaxed geometry.

DOS at the Fermi energy (states/eV/atom): 0.94
Mass density (g cm⁻³): 6.7
Formation energy from the elements (kJ/mol of atoms): -52.2

Geometry as CIF:
```
data_Pm2Ge
_space_group_name_H-M_alt 'F m -3 m'
_space_group_IT_number 225
_space_group_name_Hall '-F 4 2 3'
_cell_length_a 7.109
_cell_length_b 7.109
_cell_length_c 7.109
_cell_angle_alpha 90.00
_cell_angle_beta 90.00
_cell_angle_gamma 90.00
loop_
_atom_site_label
_atom_site_fract_x
_atom_site_fract_y
_atom_site_fract_z
_atom_site_occupancy
Pm1 0.250 0.250 0.250 1
Ge1 0.000 0.000 0.000 1
```